Record 1
Ag2HgTe, optimized geometry, DFT PBE; energy above the lowest structure with this stoichiometry = 18 meV/atom; formation energy (no corrections) = 24 kJ/mol of formula units
1.0
4.6576 0.0176 -0.0082
3.5702 2.9911 -0.0082
1.0964 0.4009 6.7630
Te Hg Ag
1 1 2
Cartesian
2.3311 0.8524 1.6867
6.9932 2.5572 5.0600
1.1059 0.4044 6.6213
4.6526 1.7014 3.5150

=====

Record 2
Ag3Hg12Te5, optimized geometry, DFT PBE; formation energy (no corrections) = 62 kJ/mol of formula units
1.0
14.7249 0.0000 0.0000
-4.9083 13.8828 0.0000
-4.9083 -6.9414 12.0228
Ag Te Hg
12 20 48
Cartesian
8.5895 4.3384 1.5029
8.5895 9.5444 1.5029
-1.2271 6.0737 7.5143
1.2271 -0.8677 4.5086
11.0437 0.0000 3.0057
1.2271 6.9414 3.0057
3.6812 0.0000 9.0171
-6.1354 6.9414 9.0171
3.6812 7.8091 7.5143
6.1354 0.8677 4.5086
-3.6812 -2.6030 10.5200
-3.6812 2.6030 10.5200
-1.2271 3.4707 3.0057
-2.4542 6.9414 0.0000
0.0000 0.0000 0.0000
3.6812 2.6030 1.5029
4.9083 -3.4707 6.0114
4.9083 6.9414 0.0000
-3.6812 7.8091 4.5086
6.1354 -4.3384 10.5200
6.1354 6.0737 4.5086
1.2271 -3.4707 9.0171
3.6812 10.4121 3.0057
2.4542 3.4707 6.0114
7.3625 0.0000 0.0000
-2.4542 -3.4707 6.0114
-1.2271 0.8677 7.5143
-1.2271 11.2798 1.5029
-4.9083 3.4707 6.0114
8.5895 -0.8677 7.5143
1.2271 4.3384 10.5200
6.1354 3.4707 9.0171
9.9815 1.3218 0.8404
-0.1649 4.8594 5.2869
10.6265 3.3612 3.0712
6.5526 2.4915 1.5649
2.0809 5.6534 8.1112
10.0884 6.5657 2.0998
-0.8099 7.8110 4.6362
-4.0984 11.3912 1.5649
0.3732 8.2293 8.1112
7.0906 7.3171 2.0998
7.1976 3.4038 4.4465
7.1976 12.5610 0.8404
-4.5351 6.3805 6.8518
2.7260 5.3108 1.3753
-4.7435 10.4790 4.4465
2.2893 -2.0820 6.7359
-0.3732 0.7271 2.9402
2.7260 8.9477 0.7245
6.5525 10.5216 3.0712
-0.2718 4.9351 0.7245
-2.8274 7.6685 9.0826
3.2641 6.0717 4.6362
6.9892 7.5022 6.8518
5.1801 -1.6306 10.6476
1.6443 0.8697 7.3867
-2.0809 -0.5609 5.1710
-0.2718 8.5720 1.3753
-1.6442 -3.5802 8.9516
7.7357 -0.7271 2.9402
5.1801 2.0063 11.2983
2.1823 -2.0063 11.2983
2.6190 9.0233 5.2869
5.2815 6.2143 9.0826
9.6518 -3.5376 7.5764
9.4434 0.5609 5.1710
-2.2893 -5.6196 11.1824
2.1823 1.6306 10.6476
4.5351 -1.2879 3.9116
-2.1823 -0.3757 9.9231
-2.2893 3.5376 7.5764
9.0067 -4.4499 10.4579
5.7182 -0.8697 7.3867
-1.6443 4.4499 10.4579
-5.1801 0.3757 9.9231
2.8274 1.2880 3.9116
-5.7182 3.5802 8.9516
5.0732 2.0820 6.7359
-5.0732 5.6196 11.1824

=====

Record 3
AgHgTe, optimized geometry, DFT PBE; energy above the lowest structure with this stoichiometry = 53 meV/atom; formation energy (no corrections) = 8 kJ/mol of formula units
1.0
4.8499 0.0000 0.0000
2.4250 4.2002 0.0000
2.4250 1.4001 3.9600
Te Hg Ag
1 1 1
Cartesian
4.8499 2.8001 1.9800
0.0000 0.0000 0.0000
7.2749 4.2002 2.9700

=====

Record 4
Ag2HgTe, optimized geometry, DFT PBE; energy above the lowest structure with this stoichiometry = 65 meV/atom; formation energy (no corrections) = 42 kJ/mol of formula units
1.0
-0.5145 2.7805 1.3277
1.2813 -1.5262 3.6927
6.4380 1.8858 -1.4546
Te Hg Ag
1 1 2
Cartesian
5.2119 2.0416 1.4193
1.9929 1.0986 2.1466
0.1867 0.0547 -0.0422
3.0323 0.8882 -0.6851

=====

In order of appearance, E = -2.23, -1.36, -2.07, -2.18 eV per atom.